[1]
# PBE Er8CSe3S4, relaxed
# Symmetry ... R-3m, No. 166
data_Er8CSe3S4
_chemical_formula_sum 'Er8 C1 Se3 S4'
_space_group_name_H-M_alt 'P 1'
_space_group_IT_number 1
_space_group_name_Hall 'P 1'
_cell_length_a 7.860
_cell_length_b 7.782
_cell_length_c 7.859
_cell_angle_alpha 120.33
_cell_angle_beta 120.00
_cell_angle_gamma 90.00
loop_
_atom_site_label
_atom_site_fract_x
_atom_site_fract_y
_atom_site_fract_z
_atom_site_occupancy
S1 0.500 0.000 0.000 1
S2 0.000 0.000 0.000 1
S3 0.000 0.000 0.500 1
S4 0.500 0.000 0.500 1
Se1 0.500 0.500 0.000 1
Se2 0.500 0.500 0.500 1
Se3 0.000 0.500 0.500 1
Er1 0.227 0.738 0.011 1
Er2 0.216 0.262 0.989 1
Er3 0.227 0.738 0.454 1
Er4 0.757 0.772 0.515 1
Er5 0.773 0.262 0.546 1
Er6 0.784 0.738 0.011 1
Er7 0.773 0.262 0.989 1
Er8 0.243 0.228 0.485 1
C1 0.000 0.500 0.000 1

***

[2]
# PBE Er8C3Se3S, relaxed
# Symmetry ... R-3m, No. 166
data_Er8C3Se3S
_chemical_formula_sum 'Er8 C3 Se3 S1'
_space_group_name_H-M_alt 'P 1'
_space_group_IT_number 1
_space_group_name_Hall 'P 1'
_cell_length_a 7.500
_cell_length_b 7.497
_cell_length_c 7.717
_cell_angle_alpha 119.05
_cell_angle_beta 90.00
_cell_angle_gamma 119.99
loop_
_atom_site_label
_atom_site_fract_x
_atom_site_fract_y
_atom_site_fract_z
_atom_site_occupancy
C1 0.500 0.000 0.500 1
C2 0.000 0.500 0.500 1
C3 0.500 0.500 0.500 1
Er1 0.251 0.964 0.715 1
Er2 0.713 0.964 0.715 1
Er3 0.265 0.531 0.297 1
Er4 0.749 0.498 0.285 1
Er5 0.749 0.036 0.285 1
Er6 0.735 0.469 0.703 1
Er7 0.251 0.502 0.715 1
Er8 0.287 0.036 0.285 1
S1 0.000 0.000 0.500 1
Se1 0.000 0.500 0.000 1
Se2 0.500 0.500 0.000 1
Se3 0.000 0.000 0.000 1

***

[3]
# PBE Er6C3SeS2, relaxed
# Symmetry ... C2/m, No. 12
data_Er6C3SeS2
_chemical_formula_sum 'Er6 C3 Se1 S2'
_space_group_name_H-M_alt 'P 1'
_space_group_IT_number 1
_space_group_name_Hall 'P 1'
_cell_length_a 3.695
_cell_length_b 7.663
_cell_length_c 8.507
_cell_angle_alpha 105.87
_cell_angle_beta 102.54
_cell_angle_gamma 90.00
loop_
_atom_site_label
_atom_site_fract_x
_atom_site_fract_y
_atom_site_fract_z
_atom_site_occupancy
S1 0.833 0.667 0.667 1
S2 0.167 0.333 0.333 1
Er1 0.659 0.605 0.317 1
Er2 0.322 0.938 0.645 1
Er3 0.341 0.395 0.683 1
Er4 0.678 0.062 0.355 1
Er5 0.990 0.278 0.981 1
Er6 0.010 0.722 0.019 1
C1 0.833 0.168 0.665 1
C2 0.500 0.500 0.000 1
C3 0.167 0.832 0.335 1
Se1 0.500 0.000 0.000 1

***

[4]
# PBE Er8C3Se4S, relaxed
# Symmetry ... R-3m, No. 166
data_Er8C3Se4S
_chemical_formula_sum 'Er8 C3 Se4 S1'
_space_group_name_H-M_alt 'P 1'
_space_group_IT_number 1
_space_group_name_Hall 'P 1'
_cell_length_a 7.570
_cell_length_b 7.833
_cell_length_c 7.570
_cell_angle_alpha 118.90
_cell_angle_beta 120.00
_cell_angle_gamma 90.00
loop_
_atom_site_label
_atom_site_fract_x
_atom_site_fract_y
_atom_site_fract_z
_atom_site_occupancy
Er1 0.753 0.291 0.507 1
Er2 0.735 0.704 0.470 1
Er3 0.247 0.709 0.962 1
Er4 0.284 0.291 0.038 1
Er5 0.716 0.709 0.962 1
Er6 0.247 0.709 0.493 1
Er7 0.265 0.296 0.530 1
Er8 0.753 0.291 0.038 1
S1 0.000 0.500 0.000 1
Se1 0.500 0.000 0.000 1
Se2 0.000 0.000 0.500 1
Se3 0.500 0.000 0.500 1
Se4 0.000 0.000 0.000 1
C1 0.500 0.500 0.000 1
C2 0.500 0.500 0.500 1
C3 0.000 0.500 0.500 1

***

[5]
# PBE Er6CSe2S3, relaxed
# Symmetry ... C2/m, No. 12
data_Er6CSe2S3
_chemical_formula_sum 'Er6 C1 Se2 S3'
_space_group_name_H-M_alt 'P 1'
_space_group_IT_number 1
_space_group_name_Hall 'P 1'
_cell_length_a 6.805
_cell_length_b 6.805
_cell_length_c 6.629
_cell_angle_alpha 99.79
_cell_angle_beta 99.79
_cell_angle_gamma 119.99
loop_
_atom_site_label
_atom_site_fract_x
_atom_site_fract_y
_atom_site_fract_z
_atom_site_occupancy
Er1 0.372 0.079 0.239 1
Er2 0.628 0.921 0.761 1
Er3 0.921 0.628 0.761 1
Er4 0.214 0.214 0.757 1
Er5 0.786 0.786 0.243 1
Er6 0.079 0.372 0.239 1
S1 0.175 0.825 0.500 1
S2 0.825 0.175 0.500 1
S3 0.500 0.500 0.500 1
Se1 0.334 0.666 0.000 1
Se2 0.666 0.334 0.000 1
C1 0.000 0.000 0.000 1

***

[6]
# PBE Er6C2SeS3, relaxed
# Symmetry ... C2/m, No. 12
data_Er6C2SeS3
_chemical_formula_sum 'Er6 C2 Se1 S3'
_space_group_name_H-M_alt 'P 1'
_space_group_IT_number 1
_space_group_name_Hall 'P 1'
_cell_length_a 3.751
_cell_length_b 7.763
_cell_length_c 8.516
_cell_angle_alpha 102.98
_cell_angle_beta 102.72
_cell_angle_gamma 90.00
loop_
_atom_site_label
_atom_site_fract_x
_atom_site_fract_y
_atom_site_fract_z
_atom_site_occupancy
S1 0.161 0.835 0.322 1
S2 0.839 0.165 0.678 1
S3 0.500 0.500 0.000 1
Er1 0.674 0.126 0.348 1
Er2 0.019 0.272 0.038 1
Er3 0.676 0.564 0.352 1
Er4 0.981 0.728 0.962 1
Er5 0.324 0.436 0.648 1
Er6 0.326 0.874 0.652 1
C1 0.831 0.663 0.662 1
C2 0.169 0.337 0.338 1
Se1 0.500 0.000 0.000 1

***

Per-record electronic total energy, eV per atom: -6.254 -6.473 -6.834 -6.521 -6.339 -6.654